# Mg6MnSiO8

A relaxed structure of Mg6MnSiO8 (GGA+U, the Alexandria database).

Lattice parameters (Å, degrees): 4.342 4.342 8.738 90.00 90.00 90.00
Atoms (fractional coordinates):
Mg 0.000 0.000 0.500
Mg 0.500 0.000 0.256
Mg 0.500 0.000 0.744
Mg 0.500 0.500 0.500
Mg 0.000 0.500 0.256
Mg 0.000 0.500 0.744
O 0.000 0.000 0.742
O 0.000 0.500 0.500
O 0.500 0.000 0.500
O 0.000 0.500 0.000
O 0.500 0.000 0.000
O 0.500 0.500 0.737
O 0.500 0.500 0.263
O 0.000 0.000 0.258
Si 0.500 0.500 0.000
Mn 0.000 0.000 0.000

Results
Energy relative to the lowest polymorph listed for this composition   0 meV/atom
Calculated density   3598 kg/m³
Symmetry   P4/mmm, No. 123
Electronic total energy   -98.05 eV for the cell shown